Here is a geometry-optimized Tb2Pr6DyTm structure from the Alexandria database. Energies are from PBE-GGA.

Structure (CIF):
```
data_Tb2Pr6DyTm
_chemical_formula_sum 'Tb8 Pr24 Dy4 Tm4'
_cell_length_a 9.310
_cell_length_b 15.451
_cell_length_c 9.700
_cell_angle_alpha 90.00
_cell_angle_beta 97.55
_cell_angle_gamma 90.00
_symmetry_space_group_name_H-M 'C 1 2/c 1'
_symmetry_Int_Tables_number 15
loop_
_symmetry_equiv_pos_as_xyz
'x,y,z'
'-x,-y,-z'
'-x,y,-z+1/2'
'x,-y,z+1/2'
'x+1/2,y+1/2,z'
'-x+1/2,-y+1/2,-z'
'-x+1/2,y+1/2,-z+1/2'
'x+1/2,-y+1/2,z+1/2'
loop_
_atom_site_label
_atom_site_type_symbol
_atom_site_fract_x
_atom_site_fract_y
_atom_site_fract_z
Tb1 Tb 0.249 0.049 0.046
Pr1 Pr 0.060 0.177 0.446
Pr2 Pr 0.099 0.392 0.617
Pr3 Pr 0.214 0.221 0.809
Dy1 Dy 0.000 0.026 0.750
Tm1 Tm 0.000 0.412 0.250
```

Properties
Formation energy, eV per atom: 0.115